# 1
SiHg2P PBE relaxed; crystal system = tetragonal; offset from the most stable computed form = 116 meV per atom; symmetry = No. 99; magnetic moment = 0.00 Bohr magnetons per cell
1.0
3.299 0.000 0.000
0.000 3.299 0.000
0.000 0.000 7.940
Hg P Si
2 1 1
direct
0.000 0.000 0.995
0.500 0.500 0.261
0.000 0.000 0.659
0.500 0.500 0.584


# 2
SiHgP PBE relaxed; crystal system = cubic; offset from the most stable computed form = 742 meV per atom; symmetry = No. 216; magnetic moment = 0.00 Bohr magnetons per cell
1.0
-1.088 4.383 -0.499
-1.715 2.328 3.505
2.494 3.206 2.036
Hg P Si
1 1 1
direct
0.250 0.250 0.250
0.000 0.000 0.000
0.500 0.500 0.500


# 3
SiHgP2 PBE relaxed; crystal system = orthorhombic; symmetry = No. 35; magnetic moment = 0.00 Bohr magnetons per cell; uncorrected energy = -14.2 eV for the cell shown
1.0
-0.803 2.803 0.771
-2.158 -1.885 -0.941
-1.382 -2.826 8.836
Hg P Si
1 2 1
direct
0.500 0.500 0.747
0.000 0.000 0.066
0.500 0.500 0.238
0.000 0.000 0.449


What did the first record say?
SiHg2P PBE relaxed; crystal system = tetragonal; offset from the most stable computed form = 116 meV per atom; symmetry = No. 99; magnetic moment = 0.00 Bohr magnetons per cell
1.0
3.299 0.000 0.000
0.000 3.299 0.000
0.000 0.000 7.940
Hg P Si
2 1 1
direct
0.000 0.000 0.995
0.500 0.500 0.261
0.000 0.000 0.659
0.500 0.500 0.584


Please write out number 2 again, unchanged.
SiHgP PBE relaxed; crystal system = cubic; offset from the most stable computed form = 742 meV per atom; symmetry = No. 216; magnetic moment = 0.00 Bohr magnetons per cell
1.0
-1.088 4.383 -0.499
-1.715 2.328 3.505
2.494 3.206 2.036
Hg P Si
1 1 1
direct
0.250 0.250 0.250
0.000 0.000 0.000
0.500 0.500 0.500